Below is Mn5Se after structural relaxation, with properties calculated at the PBE level.

## Properties
For the volume, the calculation gives 12.386 Å³ per atom. The calculation puts the excess energy over the best structure of this formula in the dataset at 0.000 eV/atom. The density of states at the Fermi level comes out at 5.44 states/eV/f.u. As for the space group: C2/m (12). The raw total energy comes out at -8.099 eV/atom.

a = 4.5671 Å, b = 4.5671 Å, c = 5.3402 Å
α = 72.59°, β = 72.59°, γ = 44.84°
Last column: nearest neighbours and their distance in Å.
Sites, in units of the cell vectors:
Mn: 0.3056 0.3056 0.3888  10 Mn 2.54-2.63, 2 Se 2.67
Mn: 0.6352 0.6352 0.2285  10 Mn 2.51-2.75, 2 Se 2.59
Mn: 0.9759 0.9759 0.5493  10 Mn 2.51-2.75, 2 Se 2.59
Mn: 0.6384 0.6384 0.7123  9 Mn 2.54-2.75, 3 Se 2.60-2.66
Mn: 0.9728 0.9728 0.0655  9 Mn 2.54-2.75, 3 Se 2.60-2.66
Se: 0.3056 0.3056 0.8888  12 Mn 2.59-2.67